DFT (PBE+U) results for LiCo2O after structural relaxation.

a = 5.4976 Å, b = 5.4976 Å, c = 5.4976 Å
α = 90.00°, β = 90.00°, γ = 90.00°
Fractional positions:
Li  0.0000  0.0000  0.0000
Li  0.0000  0.5000  0.5000
Li  0.5000  0.0000  0.5000
Li  0.5000  0.5000  0.0000
Co  0.2500  0.2500  0.2500
Co  0.2500  0.2500  0.7500
Co  0.2500  0.7500  0.2500
Co  0.2500  0.7500  0.7500
Co  0.7500  0.2500  0.2500
Co  0.7500  0.2500  0.7500
Co  0.7500  0.7500  0.2500
Co  0.7500  0.7500  0.7500
O  0.0000  0.0000  0.5000
O  0.0000  0.5000  0.0000
O  0.5000  0.0000  0.0000
O  0.5000  0.5000  0.5000

symmetry: Fm-3m, No. 225
distance to the lowest polymorph of the same formula: 3.04 eV per formula unit
calculated volume: 10.4 Å³ per atom